# CoGeP2O

A relaxed structure of CoGeP2O (GGA+U, Alexandria).

**Crystal system**: tetragonal
**Magnetic moment**: 2.002 μB/f.u.
**Space group**: P4/mmm (123)
**Total energy**: -24.07 eV for the cell shown

a b c (Å): 4.6485 4.6485 3.4368
angles (deg): 90.00 90.00 90.00
Closest atoms and distances in Å follow each position.
Atoms (fractional coordinates):
Co 0.0000 0.0000 0.0000  2 O 1.72
Ge 0.5000 0.5000 0.5000  8 P 2.89
P 0.0000 0.5000 0.0000  2 Co 2.32
P 0.5000 0.0000 0.0000  2 Co 2.32
O 0.0000 0.0000 0.5000  2 Co 1.72